Record 1
Entry from Alexandria via LeMat-Bulk: a relaxed structure of K2NaMn (PBE).

**Raw total energy**: -2.55 eV/atom
**Symmetry**: No. 225
**Energy above the lowest structure with this stoichiometry**: 0 meV per atom
**DOS at the Fermi energy**: 5.3 states/eV/f.u.
**ΔH_f (0 K)**: 0.6239 eV per atom

a = 6.268 Å, b = 6.268 Å, c = 6.268 Å
α = 60.00°, β = 60.00°, γ = 60.00°
Element x y z (fractional)
K 0.750 0.750 0.750
K 0.250 0.250 0.250
Na 0.000 0.000 0.000
Mn 0.500 0.500 0.500

Record 2
Entry from Alexandria via LeMat-Bulk: a relaxed structure of Pr7Ga2Pd2 (PBE).

**Raw total energy**: -4.85 eV/atom
**Symmetry**: No. 65
**DOS at the Fermi energy**: 11.0 states/eV/f.u.
**ΔH_f (0 K)**: -0.3093 eV per atom

a = 6.976 Å, b = 7.252 Å, c = 6.976 Å
α = 90.00°, β = 108.46°, γ = 90.00°
Element x y z (fractional)
Ga 0.841 0.500 0.841
Ga 0.159 0.500 0.159
Pr 0.500 0.270 0.000
Pr 0.500 0.265 0.500
Pr 0.000 0.730 0.500
Pr 0.000 0.000 0.000
Pr 0.500 0.735 0.500
Pr 0.000 0.270 0.500
Pr 0.500 0.730 0.000
Pd 0.291 0.000 0.709
Pd 0.709 0.000 0.291

Record 3
Entry from Alexandria via LeMat-Bulk: a relaxed structure of Cs2ThCuSe4 (PBE).

**Raw total energy**: -4.40 eV/atom
**Symmetry**: No. 82
**DOS at the Fermi energy**: 4.3 states/eV/f.u.

a = 7.337 Å, b = 7.337 Å, c = 7.337 Å
α = 101.83°, β = 113.42°, γ = 113.42°
Element x y z (fractional)
Cu 0.000 0.500 0.500
Cs 0.500 0.750 0.250
Cs 0.000 0.000 0.000
Se 0.390 0.838 0.743
Se 0.095 0.257 0.647
Se 0.610 0.353 0.448
Se 0.905 0.552 0.162
Th 0.500 0.250 0.750

Record 4
Entry from Alexandria via LeMat-Bulk: a relaxed structure of PBr (PBE).

**Raw total energy**: -3.23 eV/atom
**Symmetry**: No. 59
**Energy above the lowest structure with this stoichiometry**: 441 meV per atom
**DOS at the Fermi energy**: 0.4 states/eV/f.u.

a = 3.460 Å, b = 3.545 Å, c = 8.244 Å
α = 90.00°, β = 90.00°, γ = 90.00°
Element x y z (fractional)
P 0.000 0.500 0.461
P 0.500 0.000 0.372
Br 0.000 0.000 0.132
Br 0.500 0.500 0.701